# 1
An optimized crystal structure of AsRhSe. Source: Alexandria via LeMat-Bulk, functional PBE.

Lattice parameters (Å, degrees): 4.299 4.299 4.299 60.00 60.00 60.00
Sites, in units of the cell vectors:
As 0.000 0.000 0.000
Rh 0.250 0.250 0.250
Se 0.500 0.500 0.500

Output
total DFT energy (no corrections): -16.357 eV for the cell shown
ρ: 7.59 g/cm3
calculated volume: 56.2 Å³ per cell

# 2
An optimized crystal structure of TePI2Br. Source: Alexandria via LeMat-Bulk, functional PBE.

Lattice parameters (Å, degrees): 5.412 5.412 5.498 90.00 90.00 90.00
Sites, in units of the cell vectors:
Te 0.000 0.000 0.000
P 0.000 0.000 0.500
I 0.000 0.500 0.500
I 0.500 0.000 0.500
Br 0.500 0.500 0.000

Output
distance to the lowest polymorph of the same formula: 0.000 eV per atom
total DFT energy (no corrections): -11.378 eV for the cell shown
ρ: 5.08 g/cm3
calculated volume: 161.0 Å³ per cell

# 3
An optimized crystal structure of BaCaB. Source: Alexandria via LeMat-Bulk, functional PBE.

Lattice parameters (Å, degrees): 5.372 5.381 7.104 102.53 96.33 91.83
Sites, in units of the cell vectors:
Ba 0.000 0.000 0.000
Ba 0.485 0.485 0.931
Ca 0.439 0.831 0.468
Ca 0.929 0.348 0.483
B 0.423 0.297 0.362
B 0.523 0.091 0.200

Output
formation enthalpy at 0 K: 0.199 eV per atom
distance to the lowest polymorph of the same formula: 0.046 eV per atom
total DFT energy (no corrections): -20.012 eV for the cell shown
ρ: 3.14 g/cm3
calculated volume: 198.9 Å³ per cell

# 4
An optimized crystal structure of Na4In4Bi5. Source: Alexandria via LeMat-Bulk, functional PBE.

Lattice parameters (Å, degrees): 4.872 9.241 9.701 101.79 98.86 97.08
Sites, in units of the cell vectors:
Na 0.230 0.067 0.193
Na 0.233 0.632 0.836
Na 0.767 0.368 0.164
Na 0.770 0.933 0.807
In 0.318 0.596 0.189
In 0.339 0.105 0.616
In 0.661 0.895 0.384
In 0.682 0.404 0.811
Bi 0.092 0.755 0.556
Bi 0.183 0.263 0.932
Bi 0.500 0.500 0.500
Bi 0.817 0.737 0.068
Bi 0.908 0.245 0.444

Output
formation enthalpy at 0 K: -0.104 eV per atom
total DFT energy (no corrections): -36.981 eV for the cell shown
ρ: 6.36 g/cm3
calculated volume: 417.0 Å³ per cell

# 5
An optimized crystal structure of AcMgZn4. Source: Alexandria via LeMat-Bulk, functional PBE.

Lattice parameters (Å, degrees): 8.858 8.858 6.733 90.00 90.00 150.14
Sites, in units of the cell vectors:
Ac 0.115 0.885 0.750
Ac 0.885 0.115 0.250
Mg 0.231 0.769 0.250
Mg 0.769 0.231 0.750
Zn 0.071 0.929 0.250
Zn 0.344 0.656 0.564
Zn 0.344 0.656 0.936
Zn 0.500 0.500 0.000
Zn 0.500 0.500 0.500
Zn 0.656 0.344 0.064
Zn 0.656 0.344 0.436
Zn 0.929 0.071 0.750

Output
formation enthalpy at 0 K: -0.124 eV per atom
distance to the lowest polymorph of the same formula: 0.083 eV per atom
total DFT energy (no corrections): -23.084 eV for the cell shown
ρ: 6.48 g/cm3
calculated volume: 263.0 Å³ per cell

# 6
An optimized crystal structure of PCl2. Source: Alexandria via LeMat-Bulk, functional PBE.

Lattice parameters (Å, degrees): 6.645 6.645 2.243 90.00 90.00 120.00
Sites, in units of the cell vectors:
P 0.000 0.000 0.000
Cl 0.333 0.667 0.500
Cl 0.667 0.333 0.500

Output
total DFT energy (no corrections): -7.543 eV for the cell shown
ρ: 1.97 g/cm3
calculated volume: 85.8 Å³ per cell

# 7
An optimized crystal structure of SmHgPb2. Source: Alexandria via LeMat-Bulk, functional PBE.

Lattice parameters (Å, degrees): 11.478 11.478 11.478 17.97 17.97 17.97
Sites, in units of the cell vectors:
Sm 0.000 0.000 0.000
Hg 0.500 0.500 0.500
Pb 0.094 0.094 0.094
Pb 0.906 0.906 0.906

Output
formation enthalpy at 0 K: 0.093 eV per atom
distance to the lowest polymorph of the same formula: 0.461 eV per atom
total DFT energy (no corrections): -12.066 eV for the cell shown
ρ: 10.11 g/cm3
calculated volume: 125.7 Å³ per cell

# 8
An optimized crystal structure of RbSr4I8. Source: Alexandria via LeMat-Bulk, functional PBE.

Lattice parameters (Å, degrees): 10.481 10.481 10.481 53.68 53.68 53.68
Sites, in units of the cell vectors:
Rb 0.000 0.000 0.000
Sr 0.000 0.000 0.500
Sr 0.000 0.500 0.000
Sr 0.500 0.000 0.000
Sr 0.500 0.500 0.500
I 0.236 0.236 0.236
I 0.238 0.738 0.738
I 0.262 0.262 0.762
I 0.262 0.762 0.262
I 0.738 0.238 0.738
I 0.738 0.738 0.238
I 0.762 0.262 0.262
I 0.764 0.764 0.764

Output
distance to the lowest polymorph of the same formula: 0.000 eV per atom
total DFT energy (no corrections): -40.418 eV for the cell shown
ρ: 3.47 g/cm3
calculated volume: 693.8 Å³ per cell